A plane-wave DFT calculation with PBE was carried out for an optimized crystal structure of Cs2NaTeF6.

V, Å³ per cell: 200.4
ΔE to the lowest computed polymorph, eV/atom: 0.042
Total moment, μB per cell: 1.0
Formation energy (no corrections), meV per atom: -2319.9
Crystal system: tetragonal

```
Cs2NaTeF6
1.0
-3.3323 3.3323 4.5110
3.3323 -3.3323 4.5110
3.3323 3.3323 -4.5110
Cs Na Te F
2 1 1 6
Direct
0.2500 0.7500 0.5000 Cs
0.7500 0.2500 0.5000 Cs
0.0000 0.0000 0.0000 Na
0.5000 0.5000 0.0000 Te
0.2505 0.2505 0.5009 F
0.2505 0.7495 0.0000 F
0.2653 0.2653 0.0000 F
0.7347 0.7347 0.0000 F
0.7495 0.2505 0.0000 F
0.7495 0.7495 0.4991 F
```